Entry 1:
The following is a PBE calculation of a relaxed HfZrFe2S crystal, from Alexandria.

Calculated values
**Magnetization**: 2.85 μB/f.u.
**Symmetry**: No. 123
**Formation energy from raw total energies**: -0.045 eV per atom
**Electronic total energy**: -7.956 eV per atom
**Calculated volume**: 16.364 Å³/atom

a b c (Å): 4.1670 4.1670 4.7121
angles (deg): 90.00 90.00 90.00
With the nearest neighbours (Å) after each atom.
Atoms (fractional coordinates):
Hf  0.0000  0.0000  0.0000  2 S 2.36
Zr  0.5000  0.5000  0.0000  4 Hf 2.95, 8 Fe 3.15
Fe  0.0000  0.5000  0.5000  2 S 2.08
Fe  0.5000  0.0000  0.5000  2 S 2.08
S  0.0000  0.0000  0.5000  4 Fe 2.08



Entry 2:
The following is a PBE calculation of a relaxed Hf2FeSb2 crystal, from Alexandria.

Calculated values
**Magnetization**: 0.00 μB/f.u.
**Symmetry**: No. 127
**Formation energy from raw total energies**: -0.065 eV per atom
**Electronic total energy**: -7.388 eV per atom
**Calculated volume**: 19.951 Å³/atom

a b c (Å): 6.5512 6.5512 4.6486
angles (deg): 90.00 90.00 90.00
With the nearest neighbours (Å) after each atom.
Atoms (fractional coordinates):
Hf  0.1611  0.3389  0.0000  6 Sb 2.89-3.11, 1 Hf 2.98
Hf  0.3389  0.8389  0.0000  6 Sb 2.89-3.11, 1 Hf 2.98
Hf  0.6611  0.1611  0.0000  6 Sb 2.89-3.11, 1 Hf 2.98
Hf  0.8389  0.6611  0.0000  6 Sb 2.89-3.11, 1 Hf 2.98
Fe  0.0000  0.0000  0.5000  4 Sb 2.48
Fe  0.5000  0.5000  0.5000  4 Sb 2.48
Sb  0.1534  0.6534  0.5000  2 Fe 2.48
Sb  0.3466  0.1534  0.5000  2 Fe 2.48
Sb  0.6534  0.8466  0.5000  2 Fe 2.48
Sb  0.8466  0.3466  0.5000  2 Fe 2.48



Entry 3:
The following is a PBE calculation of a relaxed HfFe2Sb crystal, from Alexandria.

Calculated values
**Magnetization**: 4.61 μB/f.u.
**Symmetry**: No. 122
**Formation energy from raw total energies**: 0.427 eV per atom
**Electronic total energy**: -7.323 eV per atom
**Calculated volume**: 18.238 Å³/atom

a b c (Å): 5.8230 5.8230 5.8230
angles (deg): 103.34 103.34 122.60
With the nearest neighbours (Å) after each atom.
Atoms (fractional coordinates):
Hf  0.0000  0.0000  0.0000  4 Fe 2.68, 2 Sb 2.80
Hf  0.7500  0.2500  0.5000  4 Fe 2.68, 2 Sb 2.80
Fe  0.1322  0.1250  0.5072  2 Sb 2.61, 2 Hf 2.68, 2 Fe 2.80
Fe  0.3750  0.8678  0.9928  2 Sb 2.61, 2 Hf 2.68, 2 Fe 2.80
Fe  0.6178  0.6250  0.4928  2 Sb 2.61, 2 Hf 2.68, 2 Fe 2.80
Fe  0.8750  0.3822  0.0072  2 Sb 2.61, 2 Hf 2.68, 2 Fe 2.80
Sb  0.2500  0.7500  0.5000  4 Fe 2.61, 2 Hf 2.80
Sb  0.5000  0.5000  0.0000  4 Fe 2.61, 2 Hf 2.80



Entry 4:
The following is a PBE calculation of a relaxed Hf5FeSb2 crystal, from Alexandria.

Calculated values
**Magnetization**: 0.00 μB/f.u.
**Symmetry**: No. 55
**Energy above the most stable polymorph in this dataset**: 0.088 eV/atom
**Formation energy from raw total energies**: -0.342 eV per atom
**Electronic total energy**: -8.651 eV per atom
**Calculated volume**: 21.244 Å³/atom

a b c (Å): 7.3019 11.6698 3.9889
angles (deg): 90.00 90.00 90.00
With the nearest neighbours (Å) after each atom.
Atoms (fractional coordinates):
Hf  0.0000  0.0000  0.0000  4 Sb 2.90, 4 Hf 3.21
Hf  0.1457  0.3126  0.0000  1 Fe 2.43
Hf  0.1761  0.5749  0.5000  2 Fe 2.53
Hf  0.3239  0.0749  0.5000  2 Fe 2.53
Hf  0.3543  0.8126  0.0000  1 Fe 2.43
Hf  0.5000  0.5000  0.0000  4 Sb 2.90, 4 Hf 3.21
Hf  0.6457  0.1874  0.0000  1 Fe 2.43
Hf  0.6761  0.9251  0.5000  2 Fe 2.53
Hf  0.8239  0.4251  0.5000  2 Fe 2.53
Hf  0.8543  0.6874  0.0000  1 Fe 2.43
Fe  0.0000  0.5000  0.0000  6 Hf 2.43-2.53
Fe  0.5000  0.0000  0.0000  6 Hf 2.43-2.53
Sb  0.0590  0.8237  0.5000  8 Hf 2.90-3.04
Sb  0.4410  0.3237  0.5000  8 Hf 2.90-3.04
Sb  0.5590  0.6763  0.5000  8 Hf 2.90-3.04
Sb  0.9410  0.1763  0.5000  8 Hf 2.90-3.04



Which of these has the lowest formation energy from raw total energies?
Hf5FeSb2